(1)
Entry from Alexandria: a geometry-optimized YRu2Pt structure (PBE-GGA).

DOS at the Fermi energy: 21.95 states/eV per cell
crystal system: cubic

Cell: 6.5513 6.5513 6.5513 Å, 90.00 90.00 90.00°
Space group F-43m (No. 216)
Inequivalent atoms, fractional coordinates:
Y 0.0000 0.0000 0.0000 [4 per cell]
Ru 0.0000 0.0000 0.5000 [4 per cell]
Ru 0.2500 0.2500 0.7500 [4 per cell]
Pt 0.2500 0.2500 0.2500 [4 per cell]

=====

(2)
Entry from Alexandria: a geometry-optimized CuPC structure (PBE-GGA).

crystal system: triclinic

Cell: 3.7378 3.9281 4.0429 Å, 61.10 76.62 89.78°
Space group P1 (No. 1)
Inequivalent atoms, fractional coordinates:
Cu 0.0000 0.0000 0.0000 [1 per cell]
P 0.1427 0.6949 0.6069 [1 per cell]
C 0.4720 0.9014 0.1968 [1 per cell]

=====

(3)
Entry from Alexandria: a geometry-optimized RbLiTl2Pb structure (PBE-GGA).

DOS at the Fermi energy: 3.37 states/eV per cell
crystal system: tetragonal

Cell: 5.4976 5.4976 5.4189 Å, 90.00 90.00 90.00°
Space group P4/mmm (No. 123)
Inequivalent atoms, fractional coordinates:
Rb 0.0000 0.0000 0.0000 [1 per cell]
Li 0.5000 0.5000 0.5000 [1 per cell]
Tl 0.0000 0.5000 0.5000 [2 per cell]
Pb 0.5000 0.5000 0.0000 [1 per cell]

=====

(4)
Entry from Alexandria: a geometry-optimized TbNdSmAl structure (PBE-GGA).

DOS at the Fermi energy: 6.34 states/eV per cell
crystal system: orthorhombic

Cell: 4.8284 4.8477 4.8587 Å, 90.00 90.00 90.00°
Space group Pmmm (No. 47)
Inequivalent atoms, fractional coordinates:
Tb 0.0000 0.0000 0.0000 [1 per cell]
Nd 0.5000 0.0000 0.5000 [1 per cell]
Sm 0.0000 0.5000 0.5000 [1 per cell]
Al 0.5000 0.5000 0.0000 [1 per cell]

=====

(5)
Entry from Alexandria: a geometry-optimized Rb2MoCI structure (PBE-GGA).

DOS at the Fermi energy: 0.60 states/eV per cell
crystal system: tetragonal

Cell: 6.8901 6.8901 3.9946 Å, 90.00 90.00 90.00°
Space group P4/mmm (No. 123)
Inequivalent atoms, fractional coordinates:
Rb 0.0000 0.5000 0.0000 [2 per cell]
Mo 0.0000 0.0000 0.0000 [1 per cell]
C 0.0000 0.0000 0.5000 [1 per cell]
I 0.5000 0.5000 0.5000 [1 per cell]

=====

(6)
Entry from Alexandria: a geometry-optimized Ac2Ag3Au2 structure (PBE-GGA).

DOS at the Fermi energy: 7.23 states/eV per cell
crystal system: monoclinic

Cell: 11.1072 4.2514 7.5847 Å, 90.00 94.99 90.00°
Space group C2/m (No. 12)
Inequivalent atoms, fractional coordinates:
Ac 0.1201 0.0000 0.3161 [4 per cell]
Ag 0.0000 0.5000 0.0000 [2 per cell]
Ag 0.1865 0.0000 0.8886 [4 per cell]
Au 0.0984 0.5000 0.6474 [4 per cell]

=====

(7)
Entry from Alexandria: a geometry-optimized Cs2Sm2PuSe6 structure (PBE-GGA).

DOS at the Fermi energy: 19.01 states/eV per cell
crystal system: monoclinic

Cell: 7.3796 12.7465 8.9438 Å, 90.00 106.41 90.00°
Space group C2/m (No. 12)
Inequivalent atoms, fractional coordinates:
Cs 0.0000 0.1697 0.0000 [4 per cell]
Sm 0.0000 0.3333 0.5000 [4 per cell]
Pu 0.0000 0.0000 0.5000 [2 per cell]
Se 0.2244 0.1617 0.6835 [8 per cell]
Se 0.2407 0.5000 0.6828 [4 per cell]

=====

(8)
Entry from Alexandria: a geometry-optimized BeTl2Si structure (PBE-GGA).

DOS at the Fermi energy: 2.94 states/eV per cell
crystal system: orthorhombic

Cell: 4.0826 5.1590 8.1123 Å, 90.00 90.00 90.00°
Space group Cmmm (No. 65)
Inequivalent atoms, fractional coordinates:
Be 0.0000 0.0000 0.0000 [2 per cell]
Tl 0.0000 0.5000 0.2281 [4 per cell]
Si 0.0000 0.0000 0.5000 [2 per cell]

=====

Uncorrected energy readings, ordered: -124.5; -16.1; -11.5; -18.5; -20.9; -52.9; -128.1; -21.8 eV/cell
Total magnetization readings, ordered: 2.78; 0.00; 0.00; 0.00; 3.24; 0.00; 4.00; 0.00 μB per formula unit